Ba2CdGaC: relaxed, PBE-GGA.

Mass density ... 5.33 g cm⁻³
ΔH_f (0 K) ... 0.15 eV/atom
Energy ... -3.251 eV/atom

Cell and atoms, written as POSCAR:
```
Ba2CdGaC
1.0
6.113 0.000 0.000
0.000 6.113 0.000
0.000 0.000 3.910
Ba Cd Ga C
2 1 1 1
Direct
0.000 0.500 0.000
0.500 0.000 0.000
0.000 0.000 0.500
0.500 0.500 0.500
0.500 0.500 0.000
```

***

BaHfCd2C: relaxed, PBE-GGA.

Mass density ... 4.45 g cm⁻³
ΔH_f (0 K) ... 1.92 eV/atom
Energy ... -2.667 eV/atom

Cell and atoms, written as POSCAR:
```
BaHfCd2C
1.0
5.581 0.000 0.000
0.000 5.581 0.000
0.000 0.000 6.617
Ba Hf Cd C
1 1 2 1
Direct
0.000 0.000 0.000
0.000 0.000 0.500
0.000 0.500 0.500
0.500 0.000 0.500
0.500 0.500 0.000
```

***

BaMgCd2C: relaxed, PBE-GGA.

Mass density ... 5.15 g cm⁻³
ΔH_f (0 K) ... 0.63 eV/atom
Energy ... -2.284 eV/atom

Cell and atoms, written as POSCAR:
```
BaMgCd2C
1.0
4.801 0.000 0.000
0.000 4.801 0.000
0.000 0.000 5.575
Ba Mg Cd C
1 1 2 1
Direct
0.000 0.000 0.000
0.500 0.500 0.000
0.000 0.500 0.500
0.500 0.000 0.500
0.000 0.000 0.500
```

***

Ba3CdC2N6: relaxed, PBE-GGA.

Mass density ... 5.09 g cm⁻³
Uncorrected formation energy ... -0.21 eV per atom
Energy ... -6.463 eV/atom

Cell and atoms, written as POSCAR:
```
Ba3CdC2N6
1.0
5.800 0.000 0.000
-2.900 5.023 0.000
0.000 0.000 7.085
Ba Cd C N
3 1 2 6
Direct
0.000 0.000 0.000
0.333 0.667 0.673
0.667 0.333 0.327
0.000 0.000 0.500
0.333 0.667 0.278
0.667 0.333 0.722
0.197 0.395 0.279
0.197 0.803 0.279
0.395 0.197 0.721
0.605 0.803 0.279
0.803 0.197 0.721
0.803 0.605 0.721
```

***

BaNaCdC2: relaxed, PBE-GGA.

Mass density ... 4.01 g cm⁻³
ΔH_f (0 K) ... 2.10 eV/atom
Energy ... -2.423 eV/atom

Cell and atoms, written as POSCAR:
```
BaNaCdC2
1.0
4.619 0.000 0.000
0.000 4.619 0.000
0.000 0.000 5.763
Ba Na Cd C
1 1 1 2
Direct
0.000 0.000 0.000
0.500 0.500 0.000
0.000 0.000 0.500
0.000 0.500 0.500
0.500 0.000 0.500
```

***

Ba2CdNiC: relaxed, PBE-GGA.

Mass density ... 5.69 g cm⁻³
ΔH_f (0 K) ... 0.05 eV/atom
Energy ... -3.908 eV/atom

Cell and atoms, written as POSCAR:
```
Ba2CdNiC
1.0
6.014 0.000 0.000
0.000 6.014 0.000
0.000 0.000 3.692
Ba Cd Ni C
2 1 1 1
Direct
0.000 0.500 0.000
0.500 0.000 0.000
0.000 0.000 0.500
0.500 0.500 0.500
0.500 0.500 0.000
```